SbPPd3: optimized geometry, GGA-PBE.

Geometry as POSCAR:
```
SbPPd3
1.0
7.973 0.000 0.000
0.000 5.701 0.000
-5.497 0.000 7.602
Sb P Pd
4 4 12
direct
0.192 0.153 0.110
0.192 0.347 0.610
0.808 0.653 0.390
0.808 0.847 0.890
0.270 0.731 0.380
0.270 0.769 0.880
0.730 0.231 0.120
0.730 0.269 0.620
0.019 0.006 0.344
0.019 0.494 0.844
0.366 0.198 0.940
0.366 0.302 0.440
0.369 0.679 0.177
0.369 0.821 0.677
0.631 0.179 0.323
0.631 0.321 0.823
0.634 0.698 0.560
0.634 0.802 0.060
0.981 0.506 0.156
0.981 0.994 0.656
```

- formation energy without anion corrections (eV/atom) = -0.378
- mass density (Mg/m³) = 9.07
- polymorph energy (0 for the lowest one) (eV/atom) = 0.014
- DFT total energy (hartree per atom) = -0.1984
- calculated volume (A^3/atom) = 17.3

=====

Sb2PPd6: optimized geometry, GGA-PBE.

Geometry as POSCAR:
```
Sb2PPd6
1.0
3.604 0.000 0.000
0.000 6.046 3.489
0.000 -6.046 3.489
Sb P Pd
2 1 6
direct
0.000 0.167 0.833
0.000 0.833 0.167
0.500 0.501 0.501
0.000 0.257 0.500
0.000 0.500 0.257
0.000 0.744 0.744
0.500 0.119 0.119
0.500 0.500 0.880
0.500 0.880 0.500
```

- formation energy without anion corrections (eV/atom) = -0.407
- mass density (Mg/m³) = 9.97
- DFT total energy (hartree per atom) = -0.1979
- calculated volume (A^3/atom) = 16.9